Entry 1:
First-principles (PBE-GGA) data for ErBiAu2 after structural relaxation, as listed in Alexandria via LeMat-Bulk.

Structure (CIF):
```
data_ErBiAu2
_chemical_formula_sum 'Er1 Bi1 Au2'
_cell_length_a 3.577
_cell_length_b 3.577
_cell_length_c 7.366
_cell_angle_alpha 90.00
_cell_angle_beta 90.00
_cell_angle_gamma 90.00
_symmetry_space_group_name_H-M 'P 4/m m m'
_symmetry_Int_Tables_number 123
_symmetry_space_group_name_Hall '-P 4 2'
loop_
_atom_site_label
_atom_site_fract_x
_atom_site_fract_y
_atom_site_fract_z
Er1 0.000 0.000 0.000
Bi1 0.000 0.000 0.500
Au1 0.500 0.500 0.224
```

Raw total energy (eV per cell): -17.28
ΔH_f (0 K) (eV/atom): -0.5707



Entry 2:
First-principles (PBE-GGA) data for Er6Bi3Au after structural relaxation, as listed in Alexandria via LeMat-Bulk.

Structure (CIF):
```
data_Er6Bi3Au
_chemical_formula_sum 'Er24 Bi12 Au4'
_cell_length_a 11.056
_cell_length_b 15.686
_cell_length_c 7.050
_cell_angle_alpha 90.00
_cell_angle_beta 90.00
_cell_angle_gamma 90.00
_symmetry_space_group_name_H-M 'C m c 21'
_symmetry_Int_Tables_number 36
loop_
_symmetry_equiv_pos_as_xyz
'x,y,z'
'-x,-y,z+1/2'
'-x,y,z'
'x,-y,z+1/2'
'x+1/2,y+1/2,z'
'-x+1/2,-y+1/2,z+1/2'
'-x+1/2,y+1/2,z'
'x+1/2,-y+1/2,z+1/2'
loop_
_atom_site_label
_atom_site_fract_x
_atom_site_fract_y
_atom_site_fract_z
Er1 0.000 0.013 0.000
Er2 0.000 0.246 0.086
Er3 0.168 0.269 0.552
Er4 0.197 0.435 0.181
Bi1 0.000 0.435 0.501
Bi2 0.181 0.104 0.286
Au1 0.000 0.153 0.733
```

Raw total energy (eV per cell): -188.37
ΔH_f (0 K) (eV/atom): -0.4794



Entry 3:
First-principles (PBE-GGA) data for Er4BiAu after structural relaxation, as listed in Alexandria via LeMat-Bulk.

Structure (CIF):
```
data_Er4BiAu
_chemical_formula_sum 'Er16 Bi4 Au4'
_cell_length_a 8.932
_cell_length_b 13.507
_cell_length_c 6.173
_cell_angle_alpha 90.00
_cell_angle_beta 114.10
_cell_angle_gamma 90.00
_symmetry_space_group_name_H-M 'C 1 2/c 1'
_symmetry_Int_Tables_number 15
loop_
_symmetry_equiv_pos_as_xyz
'x,y,z'
'-x,-y,-z'
'-x,y,-z+1/2'
'x,-y,z+1/2'
'x+1/2,y+1/2,z'
'-x+1/2,-y+1/2,-z'
'-x+1/2,y+1/2,-z+1/2'
'x+1/2,-y+1/2,z+1/2'
loop_
_atom_site_label
_atom_site_fract_x
_atom_site_fract_y
_atom_site_fract_z
Er1 0.110 0.181 0.068
Er2 0.215 0.418 0.340
Bi1 0.000 0.380 0.750
Au1 0.000 0.002 0.250
```

Raw total energy (eV per cell): -113.27
ΔH_f (0 K) (eV/atom): -0.4848
Energy above the lowest structure with this stoichiometry (meV per atom): 87



Entry 4:
First-principles (PBE-GGA) data for ErBi2Au after structural relaxation, as listed in Alexandria via LeMat-Bulk.

Structure (CIF):
```
data_ErBi2Au
_chemical_formula_sum 'Er3 Bi6 Au3'
_cell_length_a 3.5894
_cell_length_b 3.5894
_cell_length_c 31.8503
_cell_angle_alpha 90.00
_cell_angle_beta 90.00
_cell_angle_gamma 120.00
_symmetry_space_group_name_H-M 'R -3 m'
_symmetry_Int_Tables_number 166
_symmetry_space_group_name_Hall '-R 3 2"'
loop_
_atom_site_label
_atom_site_fract_x
_atom_site_fract_y
_atom_site_fract_z
Er1 0.0000 0.0000 0.0000
Bi1 0.0000 0.0000 0.0988
Au1 0.0000 0.0000 0.5000
```

Raw total energy (eV per cell): -45.48
ΔH_f (0 K) (eV/atom): 0.1103